1.
CaTbEu2 | PBE | relaxed

Calculated volume, Å³ per cell: 156.2
Polymorph energy (0 for the lowest one), eV/f.u.: 0.04
E_form, meV/atom: 73
DOS(E_F), states/eV/f.u.: 4.5

abc: 3.771 3.771 10.984
angles: 90.00 90.00 90.00
Space group P4/mmm (No. 123)
Asymmetric unit:
1 Ca 0.000 0.000 0.000 x1
2 Tb 0.000 0.000 0.500 x1
3 Eu 0.500 0.500 0.265 x2


2.
Ca2TbEu | PBE | relaxed

Calculated volume, Å³ per cell: 153.0
Polymorph energy (0 for the lowest one), eV/f.u.: 0.09
E_form, meV/atom: 125
DOS(E_F), states/eV/f.u.: 5.0

abc: 6.061 6.061 4.165
angles: 90.00 90.00 90.00
Space group P4/mmm (No. 123)
Asymmetric unit:
1 Ca 0.000 0.500 0.000 x2
2 Tb 0.000 0.000 0.500 x1
3 Eu 0.500 0.500 0.500 x1


3.
Ca2TbEu | PBE | relaxed

Calculated volume, Å³ per cell: 154.6
Polymorph energy (0 for the lowest one), eV/f.u.: 0.00
E_form, meV/atom: 102
DOS(E_F), states/eV/f.u.: 4.3

abc: 4.127 4.127 9.079
angles: 90.00 90.00 90.00
Space group P4/mmm (No. 123)
Asymmetric unit:
1 Ca 0.000 0.000 0.233 x2
2 Tb 0.500 0.500 0.000 x1
3 Eu 0.500 0.500 0.500 x1


4.
CaTbEu2 | PBE | relaxed

Calculated volume, Å³ per cell: 614.8
Polymorph energy (0 for the lowest one), eV/f.u.: 0.20
E_form, meV/atom: 113
DOS(E_F), states/eV/f.u.: 2.9

abc: 8.503 8.503 8.503
angles: 90.00 90.00 90.00
Space group Fm-3m (No. 225)
Asymmetric unit:
1 Ca 0.000 0.000 0.000 x4
2 Tb 0.000 0.000 0.500 x4
3 Eu 0.250 0.250 0.250 x8


5.
CaTbEu2 | PBE | relaxed

Calculated volume, Å³ per cell: 153.5
Polymorph energy (0 for the lowest one), eV/f.u.: 0.19
E_form, meV/atom: 111
DOS(E_F), states/eV/f.u.: 3.8

abc: 6.055 6.055 4.187
angles: 90.00 90.00 90.00
Space group P4/mmm (No. 123)
Asymmetric unit:
1 Ca 0.000 0.000 0.000 x1
2 Tb 0.500 0.500 0.000 x1
3 Eu 0.000 0.500 0.500 x2


6.
Ca2TbEu | PBE | relaxed

Calculated volume, Å³ per cell: 469.8
Polymorph energy (0 for the lowest one), eV/f.u.: 0.55
E_form, meV/atom: 240
DOS(E_F), states/eV/f.u.: 5.9

abc: 3.6661 3.6661 40.3605
angles: 90.00 90.00 120.00
Space group R-3m (No. 166, hexagonal axes)
Asymmetric unit:
1 Ca 0.0000 0.0000 0.0857 x6
2 Tb 0.0000 0.0000 0.0000 x3
3 Eu 0.0000 0.0000 0.5000 x3


7.
CaTbEu2 | PBE | relaxed

Calculated volume, Å³ per cell: 464.8
Polymorph energy (0 for the lowest one), eV/f.u.: 0.00
E_form, meV/atom: 63
DOS(E_F), states/eV/f.u.: 4.4

abc: 3.7762 3.7762 37.6347
angles: 90.00 90.00 120.00
Space group R-3m (No. 166, hexagonal axes)
Asymmetric unit:
1 Ca 0.0000 0.0000 0.0000 x3
2 Tb 0.0000 0.0000 0.5000 x3
3 Eu 0.0000 0.0000 0.2467 x6


8.
Ca2TbEu | PBE | relaxed

Calculated volume, Å³ per cell: 613.3
Polymorph energy (0 for the lowest one), eV/f.u.: 0.10
E_form, meV/atom: 128
DOS(E_F), states/eV/f.u.: 4.6

abc: 8.496 8.496 8.496
angles: 90.00 90.00 90.00
Space group Fm-3m (No. 225)
Asymmetric unit:
1 Ca 0.250 0.250 0.250 x8
2 Tb 0.000 0.000 0.000 x4
3 Eu 0.000 0.000 0.500 x4


Among the records above, which one has the highest polymorph energy (0 for the lowest one)?
number 6